This record from Alexandria describes a relaxed structure of BaSr3Li. The functional is GGA-PBE.

a = 6.4620 Å, b = 6.4620 Å, c = 6.4620 Å
α = 90.00°, β = 90.00°, γ = 90.00°
With the nearest neighbours (Å) after each atom.
Fractional coordinates of all 5 atoms:
Sr: 0.0000 0.5000 0.0000  2 Li 3.23
Sr: 0.5000 0.0000 0.0000  2 Li 3.23
Sr: 0.0000 0.0000 0.5000  2 Li 3.23
Ba: 0.5000 0.5000 0.5000  12 Sr 4.57
Li: 0.0000 0.0000 0.0000  6 Sr 3.23

## Properties
As for the energy above the most stable polymorph in this dataset: 93.9 meV per atom. As for the total energy: -1.654 eV per atom. As for the formation energy from the elements: 0.12 eV/atom.